1.
Here is TeMoBrN2 after structural relaxation from Alexandria via LeMat-Bulk. Energies are from PBE-GGA.

Calculated values
E_form (uncorrected) in kJ/mol of formula units: 1132
Calculated volume in Å³/cell: 113.0
Excess energy over the best structure of this formula in the dataset in meV per atom: 1803.1
Total moment in μB per formula unit: 4.31

a = 3.946 Å, b = 3.946 Å, c = 7.256 Å
α = 90.00°, β = 90.00°, γ = 90.00°
Atoms (fractional coordinates):
Te  0.000  0.000  0.000
Mo  0.500  0.500  0.000
Br  0.000  0.000  0.500
N  0.000  0.500  0.500
N  0.500  0.000  0.500

***

2.
Here is Sm3CdCu after structural relaxation from Alexandria via LeMat-Bulk. Energies are from PBE-GGA.

Calculated values
Calculated volume in Å³/cell: 276.0
Total moment in μB per formula unit: 0.00
ΔH_f (0 K) in eV per atom: -0.15

a = 7.350 Å, b = 4.816 Å, c = 8.302 Å
α = 90.00°, β = 110.11°, γ = 90.00°
Atoms (fractional coordinates):
Sm  0.055  0.250  0.237
Sm  0.319  0.250  0.915
Sm  0.362  0.750  0.591
Sm  0.638  0.250  0.409
Sm  0.681  0.750  0.085
Sm  0.945  0.750  0.763
Cd  0.302  0.750  0.182
Cd  0.698  0.250  0.818
Cu  0.052  0.250  0.577
Cu  0.948  0.750  0.423

***

3.
Here is Ho2Be2InPd5 after structural relaxation from Alexandria via LeMat-Bulk. Energies are from PBE-GGA.

Calculated values
Calculated volume in Å³/cell: 329.9
Total moment in μB per formula unit: 0.00
ΔH_f (0 K) in eV per atom: -0.77

a = 9.720 Å, b = 9.720 Å, c = 3.492 Å
α = 90.00°, β = 90.00°, γ = 90.00°
Atoms (fractional coordinates):
Ho  0.177  0.323  0.000
Ho  0.323  0.823  0.000
Ho  0.677  0.177  0.000
Ho  0.823  0.677  0.000
Be  0.117  0.617  0.000
Be  0.383  0.117  0.000
Be  0.617  0.883  0.000
Be  0.883  0.383  0.000
In  0.000  0.000  0.000
In  0.500  0.500  0.000
Pd  0.000  0.500  0.500
Pd  0.070  0.780  0.500
Pd  0.220  0.070  0.500
Pd  0.280  0.570  0.500
Pd  0.430  0.280  0.500
Pd  0.500  0.000  0.500
Pd  0.570  0.720  0.500
Pd  0.720  0.430  0.500
Pd  0.780  0.930  0.500
Pd  0.930  0.220  0.500

***

4.
Here is CaTcSn2 after structural relaxation from Alexandria via LeMat-Bulk. Energies are from PBE-GGA.

Calculated values
Calculated volume in Å³/cell: 250.1
Excess energy over the best structure of this formula in the dataset in meV per atom: 528.7
Total moment in μB per formula unit: 0.00
ΔH_f (0 K) in eV per atom: 0.32

a = 9.422 Å, b = 9.422 Å, c = 9.422 Å
α = 146.77°, β = 146.77°, γ = 47.70°
Atoms (fractional coordinates):
Ca  0.000  0.000  0.000
Ca  0.750  0.250  0.500
Tc  0.250  0.750  0.500
Tc  0.500  0.500  0.000
Sn  0.268  0.625  0.143
Sn  0.375  0.518  0.643
Sn  0.482  0.125  0.857
Sn  0.875  0.732  0.357

***

5.
Here is MoC after structural relaxation from Alexandria via LeMat-Bulk. Energies are from PBE-GGA.

Calculated values
Calculated volume in Å³/cell: 66.0
Excess energy over the best structure of this formula in the dataset in meV per atom: 1157.6
Total moment in μB per formula unit: 0.00
ΔH_f (0 K) in eV per atom: 1.06

a = 8.070 Å, b = 8.070 Å, c = 8.070 Å
α = 22.24°, β = 22.24°, γ = 22.24°
Atoms (fractional coordinates):
Mo  0.116  0.116  0.116
Mo  0.884  0.884  0.884
C  0.413  0.413  0.413
C  0.587  0.587  0.587

***

6.
Here is LiNiI after structural relaxation from Alexandria via LeMat-Bulk. Energies are from PBE-GGA.

Calculated values
E_form (uncorrected) in kJ/mol of formula units: -41
Calculated volume in Å³/cell: 106.9
Excess energy over the best structure of this formula in the dataset in meV per atom: 122.7
Total moment in μB per formula unit: 0.00

a = 4.233 Å, b = 4.233 Å, c = 6.890 Å
α = 90.00°, β = 90.00°, γ = 120.00°
Atoms (fractional coordinates):
Li  0.000  0.000  0.000
Li  0.000  0.000  0.500
Ni  0.333  0.667  0.136
Ni  0.667  0.333  0.636
I  0.333  0.667  0.767
I  0.667  0.333  0.267

***

7.
Here is ZrCdP2 after structural relaxation from Alexandria via LeMat-Bulk. Energies are from PBE-GGA.

Calculated values
Calculated volume in Å³/cell: 210.7
Total moment in μB per formula unit: 0.00
ΔH_f (0 K) in eV per atom: -0.38

a = 7.258 Å, b = 7.258 Å, c = 7.258 Å
α = 131.38°, β = 131.38°, γ = 71.20°
Atoms (fractional coordinates):
Zr  0.000  0.000  0.000
Zr  0.750  0.250  0.500
Cd  0.250  0.750  0.500
Cd  0.500  0.500  0.000
P  0.113  0.625  0.988
P  0.375  0.363  0.488
P  0.637  0.125  0.012
P  0.875  0.887  0.512

***

8.
Here is Rb3Er3AlSe8 after structural relaxation from Alexandria via LeMat-Bulk. Energies are from PBE-GGA.

Calculated values
E_form (uncorrected) in kJ/mol of formula units: -2097
Calculated volume in Å³/cell: 470.4
Total moment in μB per formula unit: 0.00

a = 9.493 Å, b = 9.493 Å, c = 9.493 Å
α = 50.57°, β = 50.57°, γ = 50.57°
Atoms (fractional coordinates):
Rb  0.000  0.500  0.500
Rb  0.500  0.000  0.500
Rb  0.500  0.500  0.000
Er  0.000  0.000  0.500
Er  0.000  0.500  0.000
Er  0.500  0.000  0.000
Al  0.500  0.500  0.500
Se  0.232  0.232  0.232
Se  0.250  0.717  0.717
Se  0.283  0.283  0.750
Se  0.283  0.750  0.283
Se  0.717  0.250  0.717
Se  0.717  0.717  0.250
Se  0.750  0.283  0.283
Se  0.768  0.768  0.768

***

Copy entry 8 word for word.
Here is Rb3Er3AlSe8 after structural relaxation from Alexandria via LeMat-Bulk. Energies are from PBE-GGA.

Calculated values
E_form (uncorrected) in kJ/mol of formula units: -2097
Calculated volume in Å³/cell: 470.4
Total moment in μB per formula unit: 0.00

a = 9.493 Å, b = 9.493 Å, c = 9.493 Å
α = 50.57°, β = 50.57°, γ = 50.57°
Atoms (fractional coordinates):
Rb  0.000  0.500  0.500
Rb  0.500  0.000  0.500
Rb  0.500  0.500  0.000
Er  0.000  0.000  0.500
Er  0.000  0.500  0.000
Er  0.500  0.000  0.000
Al  0.500  0.500  0.500
Se  0.232  0.232  0.232
Se  0.250  0.717  0.717
Se  0.283  0.283  0.750
Se  0.283  0.750  0.283
Se  0.717  0.250  0.717
Se  0.717  0.717  0.250
Se  0.750  0.283  0.283
Se  0.768  0.768  0.768

***

Which value of calculated volume does entry 3 give?
329.9 Å³/cell